1.
DFT (PBE) results for crystalline HfMgScV at its relaxed geometry.

volume = 20.3 Å³/atom
VASP energy = -6.583 eV per atom
SG = No. 216
formation energy = 0.7 eV/f.u.

Geometry as POSCAR:
```
HfMgScV
1.0
4.860 0.000 0.000
2.430 4.209 0.000
2.430 1.403 3.968
V Sc Hf Mg
1 1 1 1
Direct
0.250 0.250 0.250 V
0.000 0.000 0.000 Sc
0.500 0.500 0.500 Hf
0.750 0.750 0.750 Mg
```


2.
DFT (PBE) results for crystalline HfMgZr3Sc at its relaxed geometry.

volume = 23.2 Å³/atom
VASP energy = -7.212 eV per atom
SG = No. 11
formation energy = 0.3 eV/f.u.

Geometry as POSCAR:
```
HfMgZr3Sc
1.0
-0.042 0.667 4.405
-0.453 -7.351 1.108
8.674 4.338 -0.574
Zr Sc Hf Mg
6 2 2 2
Direct
0.750 0.883 0.049 Zr
0.250 0.117 0.951 Zr
0.750 0.379 0.533 Zr
0.750 0.375 0.205 Zr
0.250 0.625 0.795 Zr
0.250 0.621 0.467 Zr
0.750 0.371 0.871 Sc
0.250 0.629 0.129 Sc
0.250 0.146 0.284 Hf
0.750 0.854 0.716 Hf
0.750 0.884 0.385 Mg
0.250 0.116 0.615 Mg
```


3.
DFT (PBE) results for crystalline HfMgSe3 at its relaxed geometry.

volume = 27.1 Å³/atom
VASP energy = -5.629 eV per atom
SG = No. 36
excess energy over the best structure of this formula in the dataset = 0 meV per atom

Geometry as POSCAR:
```
HfMgSe3
1.0
3.840 0.000 0.000
0.000 6.779 0.000
-1.920 0.000 10.400
Hf Mg Se
2 2 6
Direct
0.663 0.017 0.325 Hf
0.337 0.517 0.675 Hf
0.161 0.478 0.322 Mg
0.839 0.978 0.678 Mg
0.250 0.153 0.500 Se
0.896 0.328 0.793 Se
0.750 0.653 0.500 Se
0.104 0.828 0.207 Se
0.594 0.318 0.187 Se
0.406 0.818 0.813 Se
```


4.
DFT (PBE) results for crystalline HfMg2Se at its relaxed geometry.

volume = 22.0 Å³/atom
VASP energy = -4.250 eV per atom
SG = No. 122

Geometry as POSCAR:
```
HfMg2Se
1.0
8.031 0.000 0.000
0.000 8.031 0.000
4.015 4.015 2.728
Se Mg Hf
2 4 2
Direct
0.500 0.500 0.000 Se
0.250 0.750 0.500 Se
0.579 0.125 0.250 Mg
0.875 0.829 0.750 Mg
0.375 0.421 0.750 Mg
0.171 0.625 0.250 Mg
0.750 0.250 0.500 Hf
0.000 0.000 0.000 Hf
```